Record 1
A relaxed YBeAs crystal. Source: the Alexandria database, functional GGA-PBEsol.

a = 3.8205 Å, b = 3.8205 Å, c = 3.9823 Å
α = 90.00°, β = 90.00°, γ = 120.00°
Last column: nearest neighbours and their distance in Å.
Positions (direct):
Y1 0.0000 0.0000 0.0000  6 As 2.97, 6 Be 2.97
Be1 0.6667 0.3333 0.5000  3 As 2.21
As1 0.3333 0.6667 0.5000  3 Be 2.21

Results
The energy relative to the elements comes out at -0.910 eV/atom. As for the space group: No. 187. The energy above the most stable polymorph in this dataset is 0 meV/atom. The total DFT energy (no corrections) comes out at -6.219 eV per atom.


Record 2
A relaxed YBe2As crystal. Source: the Alexandria database, functional GGA-PBEsol.

a = 4.1019 Å, b = 5.1808 Å, c = 6.0678 Å
α = 90.00°, β = 90.00°, γ = 90.00°
Last column: nearest neighbours and their distance in Å.
Positions (direct):
Y1 0.0000 0.0000 0.0000  2 As 2.79, 4 Be 2.82-3.12
Y2 0.5000 0.5000 0.0000  2 As 2.79, 4 Be 2.82-3.12
Be1 0.0000 0.0000 0.4854  2 Be 2.29, 2 As 2.39
Be2 0.0000 0.5000 0.3192  1 As 2.24, 2 Be 2.29
Be3 0.5000 0.0000 0.3192  1 As 2.24, 2 Be 2.29
Be4 0.5000 0.5000 0.4854  2 Be 2.29, 2 As 2.39
As1 0.0000 0.5000 0.6885  3 Be 2.24-2.39
As2 0.5000 0.0000 0.6885  3 Be 2.24-2.39

Results
The energy relative to the elements comes out at -0.049 eV/atom. As for the space group: No. 35. The total DFT energy (no corrections) comes out at -5.031 eV per atom.


Record 3
A relaxed YBe2As crystal. Source: the Alexandria database, functional GGA-PBEsol.

a = 3.6952 Å, b = 4.0510 Å, c = 8.7656 Å
α = 90.00°, β = 90.00°, γ = 90.00°
Last column: nearest neighbours and their distance in Å.
Positions (direct):
Y1 0.0000 0.0000 0.0000  4 As 2.74, 8 Be 2.90-2.96
Y2 0.5000 0.5000 0.5000  4 As 2.74, 8 Be 2.90-2.96
Be1 0.0000 0.5000 0.2362  4 Be 2.75, 4 As 2.78-3.07, 4 Y 2.90-2.96
Be2 0.0000 0.5000 0.7638  4 Be 2.75, 4 As 2.78-3.07, 4 Y 2.90-2.96
Be3 0.5000 0.0000 0.2638  4 Be 2.75, 4 As 2.78-3.07, 4 Y 2.90-2.96
Be4 0.5000 0.0000 0.7362  4 Be 2.75, 4 As 2.78-3.07, 4 Y 2.90-2.96
As1 0.0000 0.0000 0.5000  4 Y 2.74, 4 Be 2.78
As2 0.5000 0.5000 0.0000  4 Y 2.74, 4 Be 2.78

Results
The energy relative to the elements comes out at 0.047 eV/atom. As for the space group: No. 71. The total DFT energy (no corrections) comes out at -4.935 eV per atom.


Record 4
A relaxed YBe3As crystal. Source: the Alexandria database, functional GGA-PBEsol.

a = 4.8090 Å, b = 4.8090 Å, c = 4.8090 Å
α = 90.00°, β = 90.00°, γ = 90.00°
Last column: nearest neighbours and their distance in Å.
Positions (direct):
Y1 0.0000 0.0000 0.0000  6 Be 2.40
Be1 0.0000 0.0000 0.5000  2 Y 2.40
Be2 0.0000 0.5000 0.0000  2 Y 2.40
Be3 0.5000 0.0000 0.0000  2 Y 2.40
As1 0.5000 0.5000 0.5000  12 Be 3.40

Results
The energy relative to the elements comes out at 2.021 eV/atom. As for the space group: No. 221. The total DFT energy (no corrections) comes out at -2.764 eV per atom.


Record 5
A relaxed YBeAs crystal. Source: the Alexandria database, functional GGA-PBEsol.

a = 5.9642 Å, b = 5.9642 Å, c = 5.9642 Å
α = 90.00°, β = 90.00°, γ = 90.00°
Last column: nearest neighbours and their distance in Å.
Positions (direct):
Y1 0.0000 0.0000 0.0000  4 Be 2.58
Y2 0.0000 0.5000 0.5000  4 Be 2.58
Y3 0.5000 0.0000 0.5000  4 Be 2.58
Y4 0.5000 0.5000 0.0000  4 Be 2.58
Be1 0.2500 0.2500 0.2500  4 As 2.58, 4 Y 2.58
Be2 0.2500 0.7500 0.7500  4 As 2.58, 4 Y 2.58
Be3 0.7500 0.2500 0.7500  4 As 2.58, 4 Y 2.58
Be4 0.7500 0.7500 0.2500  4 As 2.58, 4 Y 2.58
As1 0.0000 0.0000 0.5000  4 Be 2.58
As2 0.0000 0.5000 0.0000  4 Be 2.58
As3 0.5000 0.0000 0.0000  4 Be 2.58
As4 0.5000 0.5000 0.5000  4 Be 2.58

Results
The energy relative to the elements comes out at -0.262 eV/atom. As for the space group: No. 216. The energy above the most stable polymorph in this dataset is 648 meV/atom. The total DFT energy (no corrections) comes out at -5.572 eV per atom.


Record 6
A relaxed YBeAs2 crystal. Source: the Alexandria database, functional GGA-PBEsol.

a = 4.3296 Å, b = 4.3296 Å, c = 3.8010 Å
α = 90.00°, β = 90.00°, γ = 90.00°
Last column: nearest neighbours and their distance in Å.
Positions (direct):
Y1 0.0000 0.0000 0.0000  8 As 2.88, 4 Be 3.06
Be1 0.5000 0.5000 0.0000  8 As 2.88, 4 Y 3.06
As1 0.0000 0.5000 0.5000  4 Be 2.88, 4 Y 2.88, 4 As 3.06
As2 0.5000 0.0000 0.5000  4 Be 2.88, 4 Y 2.88, 4 As 3.06

Results
The energy relative to the elements comes out at -0.400 eV/atom. As for the space group: No. 123. The total DFT energy (no corrections) comes out at -5.659 eV per atom.


Record 7
A relaxed Y2BeAs crystal. Source: the Alexandria database, functional GGA-PBEsol.

a = 3.3332 Å, b = 3.3332 Å, c = 7.6406 Å
α = 90.00°, β = 90.00°, γ = 90.00°
Last column: nearest neighbours and their distance in Å.
Positions (direct):
Y1 0.0000 0.0000 0.0000  1 As 2.86, 4 Be 3.07
Y2 0.5000 0.5000 0.3638  1 Be 2.90, 4 As 3.09
Be1 0.5000 0.5000 0.7436  4 As 2.52
As1 0.0000 0.0000 0.6256  4 Be 2.52

Results
The energy relative to the elements comes out at -0.218 eV/atom. As for the space group: No. 99. The energy above the most stable polymorph in this dataset is 556 meV/atom. The total DFT energy (no corrections) comes out at -5.905 eV per atom.


Record 8
A relaxed Y2BeAs crystal. Source: the Alexandria database, functional GGA-PBEsol.

a = 3.7839 Å, b = 4.1491 Å, c = 10.4559 Å
α = 90.00°, β = 90.00°, γ = 90.00°
Last column: nearest neighbours and their distance in Å.
Positions (direct):
Y1 0.0000 0.0000 0.0000  4 As 2.92, 3 Be 2.99-3.05
Y2 0.0000 0.5000 0.5000  4 As 2.92, 3 Be 2.99-3.05
Y3 0.5000 0.0000 0.2871  4 Be 2.91, 3 As 3.02-3.04
Y4 0.5000 0.5000 0.7871  4 Be 2.91, 3 As 3.02-3.04
Be1 0.0000 0.0000 0.7136  2 As 2.36
Be2 0.0000 0.5000 0.2136  2 As 2.36
As1 0.5000 0.0000 0.5779  2 Be 2.36
As2 0.5000 0.5000 0.0779  2 Be 2.36

Results
The energy relative to the elements comes out at -0.774 eV/atom. As for the space group: No. 38. The energy above the most stable polymorph in this dataset is 0 meV/atom. The total DFT energy (no corrections) comes out at -6.462 eV per atom.